1.
Ac7Si3Ge | Alexandria via LeMat-Bulk | PBE | optimized geometry; ΔE_f (raw) = -0.3175 eV/atom; space-group type = C2/m
1.0
4.9738 -5.8281 0.0000
4.9738 5.8281 0.0000
-2.5030 0.0000 6.6523
Ac Si Ge
7 3 1
Direct
0.0000 0.0000 0.0000 Ac
0.1138 0.5473 0.2913 Ac
0.3324 0.3324 0.7929 Ac
0.4527 0.8862 0.7087 Ac
0.5473 0.1138 0.2913 Ac
0.6676 0.6676 0.2071 Ac
0.8862 0.4527 0.7087 Ac
0.2729 0.7271 0.0000 Si
0.5000 0.5000 0.5000 Si
0.7271 0.2729 0.0000 Si
0.0000 0.0000 0.5000 Ge

=====

2.
NaYAu4 | Alexandria via LeMat-Bulk | PBE | optimized geometry; space-group type = C2/m; E above lowest polymorph = 0.000 eV per atom; energy of formation = -515 meV per atom
1.0
4.8757 -1.8703 0.0000
4.8757 1.8703 0.0000
-2.7600 0.0000 6.8610
Na Y Au
1 1 4
Direct
0.0000 0.0000 0.0000 Na
0.0000 0.0000 0.5000 Y
0.3321 0.3321 0.1677 Au
0.3361 0.3361 0.6709 Au
0.6639 0.6639 0.3291 Au
0.6679 0.6679 0.8323 Au